1.
Material: La5PrSmTm2
Method: DFT, PBE
State: relaxed

a = 10.7836 Å, b = 10.7836 Å, c = 10.7283 Å
α = 90.00°, β = 90.00°, γ = 148.90°
With the nearest neighbours (Å) after each atom.
Positions (direct):
La (0.0161, 0.9839, 0.5000)  2 Pr 3.33, 3 Tm 3.49-3.64
La (0.2788, 0.7212, 0.1994)  1 Pr 3.11, 1 Tm 3.39
La (0.2960, 0.7040, 0.8098)  4 La 3.49-3.86, 3 Sm 3.56-3.88, 3 Tm 3.62-3.77, 1 Pr 3.64
La (0.3849, 0.6151, 0.4940)  6 La 3.61-3.97, 4 Tm 3.65-3.69, 1 Sm 3.91
La (0.4811, 0.5189, 0.7745)  2 Pr 3.17-3.44
La (0.5189, 0.4811, 0.2745)  2 Pr 3.17-3.44
La (0.6151, 0.3849, 0.9940)  6 La 3.61-3.97, 4 Tm 3.65-3.69, 1 Sm 3.91
La (0.7040, 0.2960, 0.3098)  4 La 3.49-3.86, 3 Sm 3.56-3.88, 3 Tm 3.62-3.77, 1 Pr 3.64
La (0.7212, 0.2788, 0.6994)  1 Pr 3.11, 1 Tm 3.39
La (0.9839, 0.0161, 0.0000)  2 Pr 3.33, 3 Tm 3.49-3.64
Pr (0.4113, 0.5887, 0.0649)  5 La 3.11-3.44
Pr (0.5887, 0.4113, 0.5649)  5 La 3.11-3.44
Sm (0.1969, 0.8031, 0.5029)  2 Tm 3.43-3.64, 6 La 3.56-3.76, 2 Pr 3.72
Sm (0.8031, 0.1969, 0.0029)  2 Tm 3.43-3.64, 6 La 3.56-3.76, 2 Pr 3.72
Tm (0.1155, 0.8845, 0.2022)  8 La 3.39-3.65, 1 Sm 3.64
Tm (0.1149, 0.8851, 0.7807)  1 Sm 3.43, 7 La 3.60-3.77, 2 Pr 3.74
Tm (0.8851, 0.1149, 0.2807)  1 Sm 3.43, 7 La 3.60-3.77, 2 Pr 3.74
Tm (0.8845, 0.1155, 0.7022)  8 La 3.39-3.65, 1 Sm 3.64

## Properties
Space-group type: Cmc2_1, No. 36
Magnetization in μB/cell: 0.00
Energy of formation in meV/atom: 140.5
DOS(E_F) in states/eV per cell: 28.72

=====

2.
Material: La2Pr4SmTm2
Method: DFT, PBE
State: relaxed

a = 8.2290 Å, b = 8.2290 Å, c = 8.1552 Å
α = 107.76°, β = 107.76°, γ = 36.84°
With the nearest neighbours (Å) after each atom.
Positions (direct):
La (0.1116, 0.1116, 0.1709)  3 Tm 3.63-3.64, 1 Sm 3.64, 7 Pr 3.68-3.71, 1 La 3.70
La (0.8884, 0.8884, 0.8291)  3 Tm 3.63-3.64, 1 Sm 3.64, 7 Pr 3.68-3.71, 1 La 3.70
Pr (0.2206, 0.2206, 0.8278)  1 Sm 3.62, 3 Tm 3.63, 5 Pr 3.67-3.72, 3 La 3.69-3.71
Pr (0.4447, 0.4447, 0.1699)  2 Sm 3.64, 2 Tm 3.65-3.66, 4 Pr 3.67-3.71, 4 La 3.68-3.70
Pr (0.5553, 0.5553, 0.8301)  2 Sm 3.64, 2 Tm 3.65-3.66, 4 Pr 3.67-3.71, 4 La 3.68-3.70
Pr (0.7794, 0.7794, 0.1722)  1 Sm 3.62, 3 Tm 3.63, 5 Pr 3.67-3.72, 3 La 3.69-3.71
Sm (0.0000, 0.0000, 0.5000)  6 Pr 3.62-3.64, 2 La 3.64, 4 Tm 3.69
Tm (0.3324, 0.3324, 0.5001)  3 La 3.63-3.64, 5 Pr 3.63-3.66, 2 Tm 3.66, 2 Sm 3.69
Tm (0.6676, 0.6676, 0.4999)  3 La 3.63-3.64, 5 Pr 3.63-3.66, 2 Tm 3.66, 2 Sm 3.69

## Properties
Space-group type: C2/m, No. 12
Magnetization in μB/cell: 0.00
Energy of formation in meV/atom: 25.9
DOS(E_F) in states/eV per cell: 15.75

=====

3.
Material: LaPr4Sm2Tm2
Method: DFT, PBE
State: relaxed

a = 8.1669 Å, b = 8.1669 Å, c = 8.1498 Å
α = 107.36°, β = 107.36°, γ = 36.86°
With the nearest neighbours (Å) after each atom.
Positions (direct):
La (0.0000, 0.0000, 0.0000)  6 Pr 3.64, 2 Sm 3.64, 4 Tm 3.68
Pr (0.2227, 0.2227, 0.3287)  3 Tm 3.57-3.63, 3 Sm 3.63-3.69, 1 La 3.64, 5 Pr 3.67-3.70
Pr (0.4451, 0.4451, 0.6682)  2 La 3.64, 4 Pr 3.65-3.68, 4 Sm 3.65-3.67, 2 Tm 3.66-3.68
Pr (0.5549, 0.5549, 0.3318)  2 La 3.64, 4 Pr 3.65-3.68, 4 Sm 3.65-3.67, 2 Tm 3.66-3.68
Pr (0.7773, 0.7773, 0.6713)  3 Tm 3.57-3.63, 3 Sm 3.63-3.69, 1 La 3.64, 5 Pr 3.67-3.70
Sm (0.1119, 0.1119, 0.6680)  3 Tm 3.62-3.63, 7 Pr 3.63-3.69, 1 La 3.64, 1 Sm 3.68
Sm (0.8881, 0.8881, 0.3320)  3 Tm 3.62-3.63, 7 Pr 3.63-3.69, 1 La 3.64, 1 Sm 3.68
Tm (0.3308, 0.3308, 0.0017)  5 Pr 3.57-3.68, 2 Tm 3.59, 3 Sm 3.62-3.63, 2 La 3.68
Tm (0.6692, 0.6692, 0.9983)  5 Pr 3.57-3.68, 2 Tm 3.59, 3 Sm 3.62-3.63, 2 La 3.68

## Properties
Space-group type: C2/m, No. 12
Magnetization in μB/cell: 0.00
Energy of formation in meV/atom: 23.1
DOS(E_F) in states/eV per cell: 14.31

=====

Repeat the second record exactly.
Material: La2Pr4SmTm2
Method: DFT, PBE
State: relaxed

a = 8.2290 Å, b = 8.2290 Å, c = 8.1552 Å
α = 107.76°, β = 107.76°, γ = 36.84°
With the nearest neighbours (Å) after each atom.
Positions (direct):
La (0.1116, 0.1116, 0.1709)  3 Tm 3.63-3.64, 1 Sm 3.64, 7 Pr 3.68-3.71, 1 La 3.70
La (0.8884, 0.8884, 0.8291)  3 Tm 3.63-3.64, 1 Sm 3.64, 7 Pr 3.68-3.71, 1 La 3.70
Pr (0.2206, 0.2206, 0.8278)  1 Sm 3.62, 3 Tm 3.63, 5 Pr 3.67-3.72, 3 La 3.69-3.71
Pr (0.4447, 0.4447, 0.1699)  2 Sm 3.64, 2 Tm 3.65-3.66, 4 Pr 3.67-3.71, 4 La 3.68-3.70
Pr (0.5553, 0.5553, 0.8301)  2 Sm 3.64, 2 Tm 3.65-3.66, 4 Pr 3.67-3.71, 4 La 3.68-3.70
Pr (0.7794, 0.7794, 0.1722)  1 Sm 3.62, 3 Tm 3.63, 5 Pr 3.67-3.72, 3 La 3.69-3.71
Sm (0.0000, 0.0000, 0.5000)  6 Pr 3.62-3.64, 2 La 3.64, 4 Tm 3.69
Tm (0.3324, 0.3324, 0.5001)  3 La 3.63-3.64, 5 Pr 3.63-3.66, 2 Tm 3.66, 2 Sm 3.69
Tm (0.6676, 0.6676, 0.4999)  3 La 3.63-3.64, 5 Pr 3.63-3.66, 2 Tm 3.66, 2 Sm 3.69

## Properties
Space-group type: C2/m, No. 12
Magnetization in μB/cell: 0.00
Energy of formation in meV/atom: 25.9
DOS(E_F) in states/eV per cell: 15.75

=====

Copy entry 1 word for word.
Material: La5PrSmTm2
Method: DFT, PBE
State: relaxed

a = 10.7836 Å, b = 10.7836 Å, c = 10.7283 Å
α = 90.00°, β = 90.00°, γ = 148.90°
With the nearest neighbours (Å) after each atom.
Positions (direct):
La (0.0161, 0.9839, 0.5000)  2 Pr 3.33, 3 Tm 3.49-3.64
La (0.2788, 0.7212, 0.1994)  1 Pr 3.11, 1 Tm 3.39
La (0.2960, 0.7040, 0.8098)  4 La 3.49-3.86, 3 Sm 3.56-3.88, 3 Tm 3.62-3.77, 1 Pr 3.64
La (0.3849, 0.6151, 0.4940)  6 La 3.61-3.97, 4 Tm 3.65-3.69, 1 Sm 3.91
La (0.4811, 0.5189, 0.7745)  2 Pr 3.17-3.44
La (0.5189, 0.4811, 0.2745)  2 Pr 3.17-3.44
La (0.6151, 0.3849, 0.9940)  6 La 3.61-3.97, 4 Tm 3.65-3.69, 1 Sm 3.91
La (0.7040, 0.2960, 0.3098)  4 La 3.49-3.86, 3 Sm 3.56-3.88, 3 Tm 3.62-3.77, 1 Pr 3.64
La (0.7212, 0.2788, 0.6994)  1 Pr 3.11, 1 Tm 3.39
La (0.9839, 0.0161, 0.0000)  2 Pr 3.33, 3 Tm 3.49-3.64
Pr (0.4113, 0.5887, 0.0649)  5 La 3.11-3.44
Pr (0.5887, 0.4113, 0.5649)  5 La 3.11-3.44
Sm (0.1969, 0.8031, 0.5029)  2 Tm 3.43-3.64, 6 La 3.56-3.76, 2 Pr 3.72
Sm (0.8031, 0.1969, 0.0029)  2 Tm 3.43-3.64, 6 La 3.56-3.76, 2 Pr 3.72
Tm (0.1155, 0.8845, 0.2022)  8 La 3.39-3.65, 1 Sm 3.64
Tm (0.1149, 0.8851, 0.7807)  1 Sm 3.43, 7 La 3.60-3.77, 2 Pr 3.74
Tm (0.8851, 0.1149, 0.2807)  1 Sm 3.43, 7 La 3.60-3.77, 2 Pr 3.74
Tm (0.8845, 0.1155, 0.7022)  8 La 3.39-3.65, 1 Sm 3.64

## Properties
Space-group type: Cmc2_1, No. 36
Magnetization in μB/cell: 0.00
Energy of formation in meV/atom: 140.5
DOS(E_F) in states/eV per cell: 28.72